Entry 1:
The following is a GGA-PBE calculation of CoHgPb after structural relaxation, from the Alexandria database.

a b c (Å): 3.2681 3.2681 11.8195
angles (deg): 90.00 90.00 90.00
Positions (direct):
Co: 0.0000 0.0000 0.0000
Co: 0.5000 0.5000 0.5000
Hg: 0.0000 0.0000 0.3703
Hg: 0.5000 0.5000 0.8703
Pb: 0.0000 0.0000 0.6418
Pb: 0.5000 0.5000 0.1418

The space-group type is I4mm (107). The value obtained for the formation energy is 0.43 eV per atom. The value obtained for the total energy is -3.271 eV per atom.



Entry 2:
The following is a GGA-PBE calculation of Co2HgPb2 after structural relaxation, from the Alexandria database.

a b c (Å): 5.3252 5.3252 7.6275
angles (deg): 90.00 90.00 90.00
Positions (direct):
Co: 0.0000 0.0000 0.1432
Co: 0.0000 0.0000 0.8568
Co: 0.5000 0.5000 0.3568
Co: 0.5000 0.5000 0.6432
Hg: 0.0000 0.0000 0.5000
Hg: 0.5000 0.5000 0.0000
Pb: 0.0000 0.5000 0.2500
Pb: 0.0000 0.5000 0.7500
Pb: 0.5000 0.0000 0.2500
Pb: 0.5000 0.0000 0.7500

The space-group type is I4/mmm (139). The value obtained for the formation energy is 0.53 eV per atom. The value obtained for the total energy is -3.856 eV per atom.



Entry 3:
The following is a GGA-PBE calculation of CoHgPb after structural relaxation, from the Alexandria database.

a b c (Å): 3.3394 3.3394 6.6920
angles (deg): 90.00 90.00 120.00
Positions (direct):
Co: 0.0000 0.0000 0.0000
Hg: 0.3333 0.6667 0.2869
Pb: 0.6667 0.3333 0.7099

The space-group type is P3m1 (156). The value obtained for the formation energy is 0.48 eV per atom. The value obtained for the total energy is -3.225 eV per atom.



Entry 4:
The following is a GGA-PBE calculation of CoHg3Pb after structural relaxation, from the Alexandria database.

a b c (Å): 5.0350 5.0350 5.0350
angles (deg): 90.00 90.00 90.00
Positions (direct):
Co: 0.0000 0.0000 0.0000
Hg: 0.0000 0.0000 0.5000
Hg: 0.0000 0.5000 0.0000
Hg: 0.5000 0.0000 0.0000
Pb: 0.5000 0.5000 0.5000

The space-group type is Pm-3m (221). The value obtained for the formation energy is 0.34 eV per atom. The value obtained for the total energy is -2.001 eV per atom.



Entry 5:
The following is a GGA-PBE calculation of CoHgPb4 after structural relaxation, from the Alexandria database.

a b c (Å): 6.3780 6.3780 6.3780
angles (deg): 60.00 60.00 60.00
Positions (direct):
Co: 0.0000 0.0000 0.0000
Hg: 0.7500 0.7500 0.7500
Pb: 0.3745 0.3745 0.3745
Pb: 0.3745 0.3745 0.8765
Pb: 0.3745 0.8765 0.3745
Pb: 0.8765 0.3745 0.3745

The space-group type is F-43m (216). The value obtained for the formation energy is 0.69 eV per atom. The value obtained for the total energy is -3.015 eV per atom.



Entry 6:
The following is a GGA-PBE calculation of CoSnHgPb2 after structural relaxation, from the Alexandria database.

a b c (Å): 5.1524 5.1524 4.9700
angles (deg): 90.00 90.00 90.00
Positions (direct):
Co: 0.0000 0.0000 0.0000
Sn: 0.0000 0.0000 0.5000
Hg: 0.5000 0.5000 0.5000
Pb: 0.0000 0.5000 0.0000
Pb: 0.5000 0.0000 0.0000

The space-group type is P4/mmm (123). The value obtained for the formation energy is 0.14 eV per atom. The value obtained for the total energy is -3.622 eV per atom.



Entry 7:
The following is a GGA-PBE calculation of Tl2CoHgPb after structural relaxation, from the Alexandria database.

a b c (Å): 5.1441 5.1441 5.0638
angles (deg): 90.00 90.00 90.00
Positions (direct):
Tl: 0.0000 0.5000 0.0000
Tl: 0.5000 0.0000 0.0000
Co: 0.0000 0.0000 0.0000
Hg: 0.5000 0.5000 0.5000
Pb: 0.0000 0.0000 0.5000

The space-group type is P4/mmm (123). The value obtained for the formation energy is 0.15 eV per atom. The value obtained for the total energy is -3.023 eV per atom.



Entry 8:
The following is a GGA-PBE calculation of Co2HgPd2 after structural relaxation, from the Alexandria database.

a b c (Å): 7.4576 7.4576 2.7669
angles (deg): 90.00 90.00 90.00
Positions (direct):
Co: 0.1657 0.3343 0.0000
Co: 0.3343 0.8343 0.0000
Co: 0.6657 0.1657 0.0000
Co: 0.8343 0.6657 0.0000
Hg: 0.0000 0.0000 0.5000
Hg: 0.5000 0.5000 0.5000
Pd: 0.1299 0.6299 0.5000
Pd: 0.3701 0.1299 0.5000
Pd: 0.6299 0.8701 0.5000
Pd: 0.8701 0.3701 0.5000

The space-group type is P4/mbm (127). The value obtained for the formation energy is 0.25 eV per atom. The value obtained for the total energy is -4.727 eV per atom.



Entry 9:
The following is a GGA-PBE calculation of CoHg2Pd after structural relaxation, from the Alexandria database.

a b c (Å): 4.0428 4.0428 19.0477
angles (deg): 90.00 90.00 90.00
Positions (direct):
Co: 0.0000 0.0000 0.0000
Co: 0.0000 0.5000 0.2500
Co: 0.5000 0.0000 0.7500
Co: 0.5000 0.5000 0.5000
Hg: 0.2452 0.2500 0.1250
Hg: 0.2500 0.7452 0.3750
Hg: 0.2500 0.7548 0.8750
Hg: 0.2548 0.2500 0.6250
Hg: 0.7452 0.7500 0.6250
Hg: 0.7500 0.2452 0.8750
Hg: 0.7500 0.2548 0.3750
Hg: 0.7548 0.7500 0.1250
Pd: 0.0000 0.0000 0.5000
Pd: 0.0000 0.5000 0.7500
Pd: 0.5000 0.0000 0.2500
Pd: 0.5000 0.5000 0.0000

The space-group type is I-42d (122). The value obtained for the formation energy is 0.49 eV per atom. The value obtained for the total energy is -2.738 eV per atom.



Entry 10:
The following is a GGA-PBE calculation of CoHg3Pd after structural relaxation, from the Alexandria database.

a b c (Å): 4.9196 4.9196 4.9196
angles (deg): 90.00 90.00 90.00
Positions (direct):
Co: 0.0000 0.0000 0.0000
Hg: 0.0000 0.0000 0.5000
Hg: 0.0000 0.5000 0.0000
Hg: 0.5000 0.0000 0.0000
Pd: 0.5000 0.5000 0.5000

The space-group type is Pm-3m (221). The value obtained for the formation energy is 0.62 eV per atom. The value obtained for the total energy is -2.020 eV per atom.



Entry 11:
The following is a GGA-PBE calculation of Co2HgPd8 after structural relaxation, from the Alexandria database.

a b c (Å): 9.3022 9.3022 7.2085
angles (deg): 111.11 111.11 17.36
Positions (direct):
Co: 0.1898 0.1898 0.1944
Co: 0.8102 0.8102 0.8056
Hg: 0.5000 0.5000 0.5000
Pd: 0.0533 0.0533 0.2296
Pd: 0.1975 0.1975 0.8358
Pd: 0.3182 0.3182 0.5121
Pd: 0.4152 0.4152 0.0702
Pd: 0.5848 0.5848 0.9298
Pd: 0.6818 0.6818 0.4879
Pd: 0.8025 0.8025 0.1642
Pd: 0.9467 0.9467 0.7704

The space-group type is C2/m (12). The value obtained for the formation energy is 0.05 eV per atom. The value obtained for the total energy is -5.042 eV per atom.



Entry 12:
The following is a GGA-PBE calculation of Co2HgPd2 after structural relaxation, from the Alexandria database.

a b c (Å): 3.2962 3.2962 14.5942
angles (deg): 90.00 90.00 90.00
Positions (direct):
Co: 0.0000 0.5000 0.2500
Co: 0.0000 0.5000 0.7500
Co: 0.5000 0.0000 0.2500
Co: 0.5000 0.0000 0.7500
Hg: 0.0000 0.0000 0.0000
Hg: 0.5000 0.5000 0.5000
Pd: 0.0000 0.0000 0.3894
Pd: 0.0000 0.0000 0.6106
Pd: 0.5000 0.5000 0.1106
Pd: 0.5000 0.5000 0.8894

The space-group type is I4/mmm (139). The value obtained for the formation energy is 0.22 eV per atom. The value obtained for the total energy is -4.759 eV per atom.



Entry 13:
The following is a GGA-PBE calculation of CoHg2Pd after structural relaxation, from the Alexandria database.

a b c (Å): 6.4952 6.4952 6.4952
angles (deg): 90.00 90.00 90.00
Positions (direct):
Co: 0.0000 0.0000 0.0000
Co: 0.0000 0.5000 0.5000
Co: 0.5000 0.0000 0.5000
Co: 0.5000 0.5000 0.0000
Hg: 0.2500 0.2500 0.2500
Hg: 0.2500 0.2500 0.7500
Hg: 0.2500 0.7500 0.2500
Hg: 0.2500 0.7500 0.7500
Hg: 0.7500 0.2500 0.2500
Hg: 0.7500 0.2500 0.7500
Hg: 0.7500 0.7500 0.2500
Hg: 0.7500 0.7500 0.7500
Pd: 0.0000 0.0000 0.5000
Pd: 0.0000 0.5000 0.0000
Pd: 0.5000 0.0000 0.0000
Pd: 0.5000 0.5000 0.5000

The space-group type is Fm-3m (225). The value obtained for the formation energy is 0.23 eV per atom. The value obtained for the total energy is -2.993 eV per atom.



Entry 14:
The following is a GGA-PBE calculation of Co2Hg2Pd after structural relaxation, from the Alexandria database.

a b c (Å): 6.4522 6.4522 3.9841
angles (deg): 90.00 90.00 90.00
Positions (direct):
Co: 0.1198 0.3802 0.0000
Co: 0.3802 0.8802 0.0000
Co: 0.6198 0.1198 0.0000
Co: 0.8802 0.6198 0.0000
Hg: 0.1797 0.6797 0.5000
Hg: 0.3203 0.1797 0.5000
Hg: 0.6797 0.8203 0.5000
Hg: 0.8203 0.3203 0.5000
Pd: 0.0000 0.0000 0.0000
Pd: 0.5000 0.5000 0.0000

The space-group type is P4/mbm (127). The value obtained for the formation energy is 0.36 eV per atom. The value obtained for the total energy is -3.640 eV per atom.



Entry 15:
The following is a GGA-PBE calculation of CoHg2Pd2 after structural relaxation, from the Alexandria database.

a b c (Å): 6.5595 6.5595 4.2326
angles (deg): 90.00 90.00 90.00
Positions (direct):
Co: 0.0000 0.0000 0.0000
Co: 0.5000 0.5000 0.0000
Hg: 0.1662 0.3338 0.5000
Hg: 0.3338 0.8338 0.5000
Hg: 0.6662 0.1662 0.5000
Hg: 0.8338 0.6662 0.5000
Pd: 0.1439 0.6439 0.0000
Pd: 0.3561 0.1439 0.0000
Pd: 0.6439 0.8561 0.0000
Pd: 0.8561 0.3561 0.0000

The space-group type is P4/mbm (127). The value obtained for the formation energy is 0.18 eV per atom. The value obtained for the total energy is -3.439 eV per atom.



Entry 16:
The following is a GGA-PBE calculation of Co2HgPd2 after structural relaxation, from the Alexandria database.

a b c (Å): 7.3682 7.3682 2.8121
angles (deg): 90.00 90.00 90.00
Positions (direct):
Co: 0.1097 0.3903 0.0000
Co: 0.3903 0.8903 0.0000
Co: 0.6097 0.1097 0.0000
Co: 0.8903 0.6097 0.0000
Hg: 0.0000 0.0000 0.0000
Hg: 0.5000 0.5000 0.0000
Pd: 0.1816 0.6816 0.5000
Pd: 0.3184 0.1816 0.5000
Pd: 0.6816 0.8184 0.5000
Pd: 0.8184 0.3184 0.5000

The space-group type is P4/mbm (127). The value obtained for the formation energy is 0.20 eV per atom. The value obtained for the total energy is -4.782 eV per atom.



Entry 17:
The following is a GGA-PBE calculation of Co2HgPd after structural relaxation, from the Alexandria database.

a b c (Å): 7.0197 7.0197 5.2813
angles (deg): 90.00 90.00 90.00
Positions (direct):
Co: 0.2325 0.2500 0.1250
Co: 0.2500 0.7325 0.3750
Co: 0.2500 0.7675 0.8750
Co: 0.2675 0.2500 0.6250
Co: 0.7325 0.7500 0.6250
Co: 0.7500 0.2325 0.8750
Co: 0.7500 0.2675 0.3750
Co: 0.7675 0.7500 0.1250
Hg: 0.0000 0.0000 0.5000
Hg: 0.0000 0.5000 0.7500
Hg: 0.5000 0.0000 0.2500
Hg: 0.5000 0.5000 0.0000
Pd: 0.0000 0.0000 0.0000
Pd: 0.0000 0.5000 0.2500
Pd: 0.5000 0.0000 0.7500
Pd: 0.5000 0.5000 0.5000

The space-group type is I-42d (122). The value obtained for the formation energy is 0.63 eV per atom. The value obtained for the total energy is -4.296 eV per atom.



Entry 18:
The following is a GGA-PBE calculation of CoHgPd6 after structural relaxation, from the Alexandria database.

a b c (Å): 3.9602 3.9602 7.9438
angles (deg): 90.00 90.00 90.00
Positions (direct):
Co: 0.0000 0.0000 0.0000
Hg: 0.0000 0.0000 0.5000
Pd: 0.0000 0.5000 0.2338
Pd: 0.0000 0.5000 0.7662
Pd: 0.5000 0.0000 0.2338
Pd: 0.5000 0.0000 0.7662
Pd: 0.5000 0.5000 0.0000
Pd: 0.5000 0.5000 0.5000

The space-group type is P4/mmm (123). The value obtained for the formation energy is -0.02 eV per atom. The value obtained for the total energy is -4.841 eV per atom.



Entry 19:
The following is a GGA-PBE calculation of RbCoHg2Pd after structural relaxation, from the Alexandria database.

a b c (Å): 5.1863 5.1863 4.8663
angles (deg): 90.00 90.00 90.00
Positions (direct):
Rb: 0.0000 0.0000 0.0000
Co: 0.5000 0.5000 0.5000
Hg: 0.0000 0.5000 0.5000
Hg: 0.5000 0.0000 0.5000
Pd: 0.5000 0.5000 0.0000

The space-group type is P4/mmm (123). The value obtained for the formation energy is 0.23 eV per atom. The value obtained for the total energy is -2.539 eV per atom.



Entry 20:
The following is a GGA-PBE calculation of CoHgPdRu2 after structural relaxation, from the Alexandria database.

a b c (Å): 4.8117 4.8117 4.5333
angles (deg): 90.00 90.00 90.00
Positions (direct):
Co: 0.0000 0.0000 0.0000
Hg: 0.5000 0.5000 0.0000
Pd: 0.0000 0.0000 0.5000
Ru: 0.0000 0.5000 0.5000
Ru: 0.5000 0.0000 0.5000

The space-group type is P4/mmm (123). The value obtained for the formation energy is 1.65 eV per atom. The value obtained for the total energy is -4.576 eV per atom.